Record 1
DFT (PBE) results for a relaxed LiAl2Ir crystal.

It has space group P4/mmm (No. 123), with a = 3.060 Å, b = 3.060 Å, c = 5.919 Å, α = 90.00°, β = 90.00° and γ = 90.00°. The distinct sites, in fractional coordinates, are Li at (0.000, 0.000, 0.000), Al at (0.500, 0.500, 0.251) and Ir at (0.000, 0.000, 0.500).

For the total energy, the calculation gives -5.115 eV per atom.



Record 2
DFT (PBE) results for a relaxed CdCuMoPb crystal.

It has space group F-43m (No. 216), with a = 6.716 Å, b = 6.716 Å, c = 6.716 Å, α = 90.00°, β = 90.00° and γ = 90.00°. The distinct sites, in fractional coordinates, are Cd at (0.000, 0.000, 0.000), Cu at (0.250, 0.250, 0.750), Mo at (0.250, 0.250, 0.250) and Pb at (0.000, 0.000, 0.500).

For the total energy, the calculation gives -4.095 eV per atom.



Record 3
DFT (PBE) results for a relaxed ZrUPd crystal.

It has space group F-43m (No. 216), with a = 6.656 Å, b = 6.656 Å, c = 6.656 Å, α = 90.00°, β = 90.00° and γ = 90.00°. The distinct sites, in fractional coordinates, are Zr at (0.000, 0.000, 0.000), U at (0.000, 0.000, 0.500) and Pd at (0.250, 0.250, 0.750).

For the total energy, the calculation gives -8.038 eV per atom.



Record 4
DFT (PBE) results for a relaxed PmHPd3 crystal.

It has space group Pm-3m (No. 221), with a = 4.210 Å, b = 4.210 Å, c = 4.210 Å, α = 90.00°, β = 90.00° and γ = 90.00°. The distinct sites, in fractional coordinates, are Pm at (0.000, 0.000, 0.000), H at (0.500, 0.500, 0.500) and Pd at (0.000, 0.500, 0.500).

For the total energy, the calculation gives -5.361 eV per atom.